# 1
Below is a geometry-optimized AcCuNi4 structure, with properties calculated at the PBE level.

abc: 7.009 3.891 7.075
angles: 90.00 90.00 90.00
Space group Pmma (No. 51)
Symmetry-distinct sites (fractional):
Ac 0.250 0.000 0.133 [2 per cell]
Cu 0.250 0.000 0.719 [2 per cell]
Ni 0.000 0.000 0.500 [2 per cell]
Ni 0.050 0.500 0.734 [4 per cell]
Ni 0.250 0.500 0.460 [2 per cell]

Results
total magnetic moment: 0.12 μB/atom
distance to the lowest polymorph of the same formula: 58 meV per atom
DFT total energy: -5.22 eV/atom

---

# 2
Below is a geometry-optimized KBeMo3 structure, with properties calculated at the PBE level.

abc: 4.465 4.465 4.465
angles: 90.00 90.00 90.00
Space group Pm-3m (No. 221)
Symmetry-distinct sites (fractional):
K 0.000 0.000 0.000 [1 per cell]
Be 0.500 0.500 0.500 [1 per cell]
Mo 0.000 0.000 0.500 [3 per cell]

Results
total magnetic moment: 0.00 μB/atom
distance to the lowest polymorph of the same formula: 1609 meV per atom
DFT total energy: -4.22 eV/atom

---

# 3
Below is a geometry-optimized Tl3GaPb3 structure, with properties calculated at the PBE level.

abc: 6.466 10.726 12.083
angles: 90.00 95.77 90.00
Space group P2_1/c (No. 14)
Symmetry-distinct sites (fractional):
Tl 0.051 0.121 0.241 [4 per cell]
Tl 0.156 0.134 0.531 [4 per cell]
Tl 0.421 0.618 0.134 [4 per cell]
Ga 0.435 0.122 0.085 [4 per cell]
Pb 0.169 0.617 0.551 [4 per cell]
Pb 0.299 0.652 0.842 [4 per cell]
Pb 0.303 0.111 0.831 [4 per cell]

Results
total magnetic moment: 0.00 μB/atom
DFT total energy: -3.00 eV/atom

---

# 4
Below is a geometry-optimized Rb3Pu2CuSe6 structure, with properties calculated at the PBE level.

abc: 7.087 12.989 8.248
angles: 90.00 106.62 90.00
Space group C2/m (No. 12)
Symmetry-distinct sites (fractional):
Rb 0.000 0.000 0.000 [2 per cell]
Rb 0.000 0.340 0.000 [4 per cell]
Pu 0.000 0.165 0.500 [4 per cell]
Cu 0.000 0.500 0.500 [2 per cell]
Se 0.237 0.325 0.697 [8 per cell]
Se 0.247 0.500 0.328 [4 per cell]

Results
total magnetic moment: 0.67 μB/atom
DFT total energy: -5.80 eV/atom
formation energy without anion corrections: -1.08 eV per atom

---

# 5
Below is a geometry-optimized CaSc2InC structure, with properties calculated at the PBE level.

abc: 4.582 4.582 5.024
angles: 90.00 90.00 90.00
Space group P4/mmm (No. 123)
Symmetry-distinct sites (fractional):
Ca 0.000 0.000 0.000 [1 per cell]
Sc 0.000 0.500 0.500 [2 per cell]
In 0.500 0.500 0.000 [1 per cell]
C 0.000 0.000 0.500 [1 per cell]

Results
total magnetic moment: 0.00 μB/atom
DFT total energy: -5.70 eV/atom

---

# 6
Below is a geometry-optimized AsOs2Rh structure, with properties calculated at the PBE level.

abc: 3.931 3.931 7.510
angles: 90.00 90.00 90.00
Space group I-4m2 (No. 119)
Symmetry-distinct sites (fractional):
As 0.000 0.000 0.000 [2 per cell]
Os 0.000 0.000 0.500 [2 per cell]
Os 0.000 0.500 0.750 [2 per cell]
Rh 0.000 0.500 0.250 [2 per cell]

Results
total magnetic moment: 0.00 μB/atom
DFT total energy: -8.25 eV/atom